No. 1
Compound: CaTbMgCd
Source: Alexandria via LeMat-Bulk
Functional: GGA-PBE
Structure: optimized geometry

Cell: 7.642 7.642 7.642 Å, 90.00 90.00 90.00°
Space group F-43m (No. 216)
One atom of each set of equivalent atoms:
Ca: 0.000 0.000 0.000 (multiplicity 4)
Tb: 0.000 0.000 0.500 (multiplicity 4)
Mg: 0.250 0.250 0.250 (multiplicity 4)
Cd: 0.250 0.250 0.750 (multiplicity 4)

Polymorph energy (0 for the lowest one) (meV/atom): 3
Crystal system: cubic
Energy of formation (eV per atom): -0.205

=====

No. 2
Compound: CaTbMgCd
Source: Alexandria via LeMat-Bulk
Functional: GGA-PBE
Structure: optimized geometry

Cell: 3.854 3.854 7.614 Å, 90.00 90.00 90.00°
Space group P4mm (No. 99)
One atom of each set of equivalent atoms:
Ca: 0.000 0.000 0.000 (multiplicity 1)
Tb: 0.000 0.000 0.515 (multiplicity 1)
Mg: 0.500 0.500 0.269 (multiplicity 1)
Cd: 0.500 0.500 0.743 (multiplicity 1)

Polymorph energy (0 for the lowest one) (meV/atom): 0
Crystal system: tetragonal
Energy of formation (eV per atom): -0.208

=====

No. 3
Compound: CaMgCdTc2
Source: Alexandria via LeMat-Bulk
Functional: GGA-PBE
Structure: optimized geometry

Cell: 5.103 5.103 5.347 Å, 90.00 90.00 90.00°
Space group P4/mmm (No. 123)
One atom of each set of equivalent atoms:
Ca: 0.000 0.000 0.000 (multiplicity 1)
Mg: 0.500 0.500 0.000 (multiplicity 1)
Cd: 0.000 0.000 0.500 (multiplicity 1)
Tc: 0.000 0.500 0.500 (multiplicity 2)

Crystal system: tetragonal
Energy of formation (eV per atom): 1.508